[1]
Computed, not measured: Nb2Zn2CuO8 after structural relaxation at the GGA-PBE level of DFT.

a b c (Å): 10.110 10.110 5.219
angles (deg): 88.23 88.23 34.74
Site moments in Bohr magnetons follow the coordinates.
Fractional coordinates of all 26 atoms:
O  0.920  0.716  0.443  0.02
O  0.716  0.920  0.943  0.02
O  0.421  0.692  0.939  0.10
O  0.044  0.813  0.066  0.03
O  0.956  0.187  0.934  0.03
O  0.187  0.956  0.434  0.03
O  0.308  0.579  0.561  0.10
O  0.451  0.166  0.369  0.01
O  0.549  0.834  0.631  0.01
O  0.166  0.451  0.869  0.01
O  0.284  0.080  0.057  0.02
O  0.692  0.421  0.439  0.10
O  0.834  0.549  0.131  0.01
O  0.080  0.284  0.557  0.02
O  0.813  0.044  0.566  0.03
O  0.579  0.308  0.061  0.10
Cu  0.350  0.650  0.250  0.61
Cu  0.650  0.350  0.750  0.61
Nb  0.723  0.048  0.233  0.02
Nb  0.048  0.723  0.733  0.02
Nb  0.277  0.952  0.767  0.02
Nb  0.952  0.277  0.267  0.02
Zn  0.876  0.568  0.756  0.00
Zn  0.124  0.432  0.244  0.00
Zn  0.568  0.876  0.256  0.00
Zn  0.432  0.124  0.744  0.00

For the formation energy from raw total energies, the calculation gives -1.844 eV per atom. As for the magnetic moment: 2.01 μB/cell. As for the total DFT energy (no corrections): -180.9 eV/cell.

---

[2]
Computed, not measured: Nb2CuOs after structural relaxation at the GGA-PBE level of DFT.

a b c (Å): 3.865 4.028 4.028
angles (deg): 90.00 90.00 90.00
Fractional coordinates of all 4 atoms:
Nb  0.000  0.500  0.000
Nb  0.000  0.000  0.500
Os  0.500  0.500  0.500
Cu  0.500  0.000  0.000

As for the formation energy from the elements: -0.04 eV per atom. As for the magnetic moment: 0.00 μB/cell. As for the total DFT energy (no corrections): -35.6 eV/cell.

---

[3]
Computed, not measured: NbCu2Os after structural relaxation at the GGA-PBE level of DFT.

a b c (Å): 3.643 3.643 9.767
angles (deg): 79.25 79.25 90.00
Fractional coordinates of all 8 atoms:
Os  0.750  0.250  0.500
Os  0.000  0.000  0.000
Cu  0.645  0.125  0.250
Cu  0.875  0.895  0.750
Cu  0.105  0.625  0.250
Cu  0.375  0.355  0.750
Nb  0.500  0.500  0.000
Nb  0.250  0.750  0.500

As for the formation energy from the elements: 0.47 eV per atom. As for the magnetic moment: 0.00 μB/cell. The offset from the most stable computed form comes out at 19.0 kJ/mol of atoms. As for the total DFT energy (no corrections): -55.2 eV/cell.

---

[4]
Computed, not measured: NbCuOs2 after structural relaxation at the GGA-PBE level of DFT.

a b c (Å): 4.385 4.385 4.385
angles (deg): 60.00 60.00 60.00
Fractional coordinates of all 4 atoms:
Os  0.750  0.750  0.750
Os  0.250  0.250  0.250
Cu  0.000  0.000  0.000
Nb  0.500  0.500  0.500

As for the formation energy from the elements: 0.17 eV per atom. As for the magnetic moment: 0.00 μB/cell. The offset from the most stable computed form comes out at 11.7 kJ/mol of atoms. As for the total DFT energy (no corrections): -35.9 eV/cell.

---

[5]
Computed, not measured: Nb3CuOs after structural relaxation at the GGA-PBE level of DFT.

a b c (Å): 4.569 4.569 4.569
angles (deg): 90.00 90.00 90.00
Fractional coordinates of all 5 atoms:
Nb  0.000  0.000  0.500
Nb  0.000  0.500  0.000
Nb  0.500  0.000  0.000
Cu  0.000  0.000  0.000
Os  0.500  0.500  0.500

As for the formation energy from the elements: 1.38 eV per atom. As for the magnetic moment: 0.00 μB/cell. The offset from the most stable computed form comes out at 15.7 kJ/mol of atoms. As for the total DFT energy (no corrections): -38.7 eV/cell.

---

[6]
Computed, not measured: Nb2CuOs after structural relaxation at the GGA-PBE level of DFT.

a b c (Å): 7.159 7.159 5.744
angles (deg): 51.45 51.45 90.00
Fractional coordinates of all 8 atoms:
Cu  0.250  0.750  0.500
Cu  0.500  0.500  0.000
Nb  0.643  0.125  0.250
Nb  0.107  0.625  0.250
Nb  0.375  0.357  0.750
Nb  0.875  0.893  0.750
Os  0.750  0.250  0.500
Os  0.000  0.000  0.000

As for the formation energy from the elements: 0.48 eV per atom. As for the magnetic moment: 0.00 μB/cell. As for the total DFT energy (no corrections): -67.1 eV/cell.

---

[7]
Computed, not measured: Nb2CuOs2 after structural relaxation at the GGA-PBE level of DFT.

a b c (Å): 7.447 7.447 3.053
angles (deg): 90.00 90.00 90.00
Fractional coordinates of all 10 atoms:
Os  0.860  0.640  0.000
Os  0.640  0.140  0.000
Os  0.140  0.360  0.000
Os  0.360  0.860  0.000
Nb  0.341  0.159  0.500
Nb  0.159  0.659  0.500
Nb  0.659  0.841  0.500
Nb  0.841  0.341  0.500
Cu  0.500  0.500  0.000
Cu  0.000  0.000  0.000

As for the formation energy from the elements: 0.12 eV per atom. As for the magnetic moment: 0.00 μB/cell. As for the total DFT energy (no corrections): -92.2 eV/cell.

---

[8]
Computed, not measured: NbCu2Os after structural relaxation at the GGA-PBE level of DFT.

a b c (Å): 4.297 4.297 4.297
angles (deg): 60.00 60.00 60.00
Fractional coordinates of all 4 atoms:
Os  0.500  0.500  0.500
Cu  0.250  0.250  0.250
Cu  0.750  0.750  0.750
Nb  0.000  0.000  0.000

As for the formation energy from the elements: 0.27 eV per atom. As for the magnetic moment: 0.00 μB/cell. The offset from the most stable computed form comes out at 0.0 kJ/mol of atoms. As for the total DFT energy (no corrections): -28.4 eV/cell.

---

Q: Which value of magnetic moment does entry 1 give?
A: 2.01 μB/cell

---

Q: What is the formula in the first record?
A: Nb2Zn2CuO8

---

Please write out number 6 again, unchanged.
Computed, not measured: Nb2CuOs after structural relaxation at the GGA-PBE level of DFT.

a b c (Å): 7.159 7.159 5.744
angles (deg): 51.45 51.45 90.00
Fractional coordinates of all 8 atoms:
Cu  0.250  0.750  0.500
Cu  0.500  0.500  0.000
Nb  0.643  0.125  0.250
Nb  0.107  0.625  0.250
Nb  0.375  0.357  0.750
Nb  0.875  0.893  0.750
Os  0.750  0.250  0.500
Os  0.000  0.000  0.000

As for the formation energy from the elements: 0.48 eV per atom. As for the magnetic moment: 0.00 μB/cell. As for the total DFT energy (no corrections): -67.1 eV/cell.

---

Q: Which of these has the highest total DFT energy (no corrections)?
A: number 8